This record from Alexandria via LeMat-Bulk describes a relaxed Be2FeHg crystal. The functional is PBE.

Results
**Space-group type**: Cm (8)
**Crystal system**: monoclinic
**E_form**: 0.35 eV per atom

a b c (Å): 4.549 4.549 4.269
angles (deg): 106.30 106.30 35.46
Fractional coordinates of all 4 atoms:
Be  0.000  0.000  0.000
Be  0.716  0.716  0.294
Fe  0.464  0.464  0.433
Hg  0.243  0.243  0.804


This record from Alexandria via LeMat-Bulk describes a relaxed CsNa3Ca4I12 crystal. The functional is PBE.

Results
**Space-group type**: Im-3 (204)
**E_form (uncorrected)**: -1.47 eV/atom
**Crystal system**: cubic

a b c (Å): 10.299 10.299 10.299
angles (deg): 109.47 109.47 109.47
Fractional coordinates of all 20 atoms:
Cs  0.000  0.000  0.000
Na  0.000  0.500  0.500
Na  0.500  0.000  0.500
Na  0.500  0.500  0.000
Ca  0.000  0.000  0.500
Ca  0.000  0.500  0.000
Ca  0.500  0.000  0.000
Ca  0.500  0.500  0.500
I  0.123  0.305  0.817
I  0.183  0.488  0.305
I  0.183  0.877  0.695
I  0.305  0.183  0.488
I  0.305  0.817  0.123
I  0.488  0.305  0.183
I  0.512  0.695  0.817
I  0.695  0.183  0.877
I  0.695  0.817  0.512
I  0.817  0.123  0.305
I  0.817  0.512  0.695
I  0.877  0.695  0.183


This record from Alexandria via LeMat-Bulk describes a relaxed VCrGe2 crystal. The functional is PBE.

Results
**Space-group type**: R-3m (166)
**Crystal system**: trigonal
**E_form**: 0.35 eV per atom

a b c (Å): 9.322 9.322 9.322
angles (deg): 17.58 17.58 17.58
Fractional coordinates of all 4 atoms:
V  0.000  0.000  0.000
Cr  0.500  0.500  0.500
Ge  0.409  0.409  0.409
Ge  0.591  0.591  0.591


This record from Alexandria via LeMat-Bulk describes a relaxed Ba3CdAu2O6 crystal. The functional is PBE.

Results
**Space-group type**: P-3m1 (164)
**E_form (uncorrected)**: -1.20 eV/atom
**Crystal system**: trigonal

a b c (Å): 6.166 6.166 6.882
angles (deg): 90.00 90.00 120.00
Fractional coordinates of all 12 atoms:
Ba  0.000  0.000  0.000
Ba  0.333  0.667  0.627
Ba  0.667  0.333  0.373
Cd  0.000  0.000  0.500
Au  0.333  0.667  0.130
Au  0.667  0.333  0.870
O  0.167  0.334  0.308
O  0.167  0.833  0.308
O  0.334  0.167  0.692
O  0.666  0.833  0.308
O  0.833  0.167  0.692
O  0.833  0.666  0.692


This record from Alexandria via LeMat-Bulk describes a relaxed AcTa4O12 crystal. The functional is PBE.

Results
**Space-group type**: Im-3m (229)
**E_form (uncorrected)**: -2.85 eV/atom
**Crystal system**: cubic

a b c (Å): 6.905 6.905 6.905
angles (deg): 109.47 109.47 109.47
Fractional coordinates of all 17 atoms:
Ac  0.000  0.000  0.000
Ta  0.000  0.000  0.500
Ta  0.000  0.500  0.000
Ta  0.500  0.000  0.000
Ta  0.500  0.500  0.500
O  0.000  0.242  0.758
O  0.000  0.758  0.242
O  0.242  0.000  0.758
O  0.242  0.242  0.484
O  0.242  0.484  0.242
O  0.242  0.758  0.000
O  0.484  0.242  0.242
O  0.516  0.758  0.758
O  0.758  0.000  0.242
O  0.758  0.242  0.000
O  0.758  0.516  0.758
O  0.758  0.758  0.516


This record from Alexandria via LeMat-Bulk describes a relaxed SbPPb crystal. The functional is PBE.

Results
**Space-group type**: P1 (1)
**E_form (uncorrected)**: 0.15 eV/atom
**Crystal system**: triclinic

a b c (Å): 5.037 6.050 6.483
angles (deg): 97.52 112.55 105.83
Fractional coordinates of all 6 atoms:
Sb  0.000  0.000  0.000
Sb  0.377  0.581  0.768
P  0.157  0.938  0.663
P  0.613  0.212  0.782
Pb  0.273  0.581  0.223
Pb  0.745  0.169  0.399


This record from Alexandria via LeMat-Bulk describes a relaxed BaTe2Se2 crystal. The functional is PBE.

Results
**Space-group type**: P4/mbm (127)
**E_form (uncorrected)**: -0.53 eV/atom
**Crystal system**: tetragonal

a b c (Å): 8.661 8.661 4.177
angles (deg): 90.00 90.00 90.00
Fractional coordinates of all 10 atoms:
Ba  0.000  0.000  0.000
Ba  0.500  0.500  0.000
Te  0.122  0.378  0.000
Te  0.378  0.878  0.000
Te  0.622  0.122  0.000
Te  0.878  0.622  0.000
Se  0.212  0.712  0.500
Se  0.288  0.212  0.500
Se  0.712  0.788  0.500
Se  0.788  0.288  0.500


This record from Alexandria via LeMat-Bulk describes a relaxed MnCuPb crystal. The functional is PBE.

Results
**Space-group type**: Cm (8)
**Crystal system**: monoclinic
**E_form**: 0.38 eV per atom

a b c (Å): 5.867 5.867 3.238
angles (deg): 105.21 105.21 32.02
Fractional coordinates of all 3 atoms:
Mn  0.000  0.000  0.000
Cu  0.613  0.613  0.608
Pb  0.300  0.300  0.297


This record from Alexandria via LeMat-Bulk describes a relaxed Pm2Ga2Rh crystal. The functional is PBE.

Results
**Space-group type**: C2/m (12)
**Crystal system**: monoclinic
**E_form**: -0.72 eV per atom

a b c (Å): 5.922 5.922 10.664
angles (deg): 115.58 115.58 43.05
Fractional coordinates of all 10 atoms:
Pm  0.003  0.003  0.329
Pm  0.189  0.189  0.117
Pm  0.811  0.811  0.883
Pm  0.997  0.997  0.671
Ga  0.351  0.351  0.442
Ga  0.485  0.485  0.116
Ga  0.515  0.515  0.884
Ga  0.649  0.649  0.558
Rh  0.278  0.278  0.642
Rh  0.722  0.722  0.358


This record from Alexandria via LeMat-Bulk describes a relaxed Zn2HgHO crystal. The functional is PBE.

Results
**Energy**: -8.04 eV per cell
**Space-group type**: P4/mmm (123)
**Crystal system**: tetragonal

a b c (Å): 5.000 5.000 3.583
angles (deg): 90.00 90.00 90.00
Fractional coordinates of all 5 atoms:
Zn  0.000  0.500  0.000
Zn  0.500  0.000  0.000
Hg  0.000  0.000  0.000
H  0.000  0.000  0.500
O  0.500  0.500  0.500


This record from Alexandria via LeMat-Bulk describes a relaxed InFeAs2 crystal. The functional is PBE.

Results
**Space-group type**: Pmmm (47)
**Crystal system**: orthorhombic
**E_form**: 0.47 eV per atom

a b c (Å): 3.550 4.575 4.627
angles (deg): 90.00 90.00 90.00
Fractional coordinates of all 4 atoms:
In  0.000  0.000  0.000
Fe  0.500  0.000  0.500
As  0.000  0.500  0.500
As  0.500  0.500  0.000


This record from Alexandria via LeMat-Bulk describes a relaxed KTaP2Cl crystal. The functional is PBE.

Results
**Space-group type**: P4/mmm (123)
**E_form (uncorrected)**: -0.49 eV/atom
**Crystal system**: tetragonal

a b c (Å): 4.829 4.829 5.242
angles (deg): 90.00 90.00 90.00
Fractional coordinates of all 5 atoms:
K  0.000  0.000  0.000
Ta  0.500  0.500  0.500
P  0.000  0.500  0.500
P  0.500  0.000  0.500
Cl  0.500  0.500  0.000


This record from Alexandria via LeMat-Bulk describes a relaxed FeSnBi crystal. The functional is PBE.

Results
**Space-group type**: C2/m (12)
**Crystal system**: monoclinic
**E_form**: 0.24 eV per atom

a b c (Å): 4.974 4.974 9.855
angles (deg): 106.33 106.33 38.74
Fractional coordinates of all 6 atoms:
Fe  0.250  0.250  0.089
Fe  0.750  0.750  0.911
Sn  0.012  0.012  0.848
Sn  0.988  0.988  0.152
Bi  0.334  0.334  0.393
Bi  0.666  0.666  0.607


This record from Alexandria via LeMat-Bulk describes a relaxed Pm4PrCo crystal. The functional is PBE.

Results
**Space-group type**: P-1 (2)
**Crystal system**: triclinic
**E_form**: 0.02 eV per atom

a b c (Å): 3.694 6.331 8.531
angles (deg): 72.04 89.81 73.14
Fractional coordinates of all 6 atoms:
Pm  0.120  0.258  0.383
Pm  0.180  0.148  0.804
Pm  0.820  0.852  0.196
Pm  0.880  0.742  0.617
Pr  0.500  0.500  0.000
Co  0.500  0.500  0.500


This record from Alexandria via LeMat-Bulk describes a relaxed Mg5VRh6 crystal. The functional is PBE.

Results
**Space-group type**: Cmmm (65)
**Crystal system**: orthorhombic
**E_form**: -0.52 eV per atom

a b c (Å): 6.902 6.902 6.224
angles (deg): 90.00 90.00 143.06
Fractional coordinates of all 12 atoms:
Mg  0.000  0.000  0.000
Mg  0.329  0.671  0.500
Mg  0.332  0.668  0.000
Mg  0.668  0.332  0.000
Mg  0.671  0.329  0.500
V  0.000  0.000  0.500
Rh  0.159  0.841  0.257
Rh  0.159  0.841  0.743
Rh  0.500  0.500  0.264
Rh  0.500  0.500  0.736
Rh  0.841  0.159  0.257
Rh  0.841  0.159  0.743


This record from Alexandria via LeMat-Bulk describes a relaxed NiAs crystal. The functional is PBE.

Results
**Space-group type**: P2_13 (198)
**Crystal system**: cubic
**E_form**: -0.04 eV per atom

a b c (Å): 4.830 4.830 4.830
angles (deg): 90.00 90.00 90.00
Fractional coordinates of all 8 atoms:
Ni  0.080  0.080  0.080
Ni  0.420  0.920  0.580
Ni  0.580  0.420  0.920
Ni  0.920  0.580  0.420
As  0.081  0.581  0.919
As  0.419  0.419  0.419
As  0.581  0.919  0.081
As  0.919  0.081  0.581


This record from Alexandria via LeMat-Bulk describes a relaxed KHg2I6 crystal. The functional is PBE.

Results
**Space-group type**: C2/c (15)
**E_form (uncorrected)**: -0.44 eV/atom
**Crystal system**: monoclinic

a b c (Å): 10.411 10.411 8.110
angles (deg): 100.03 100.03 87.95
Fractional coordinates of all 18 atoms:
K  0.150  0.850  0.750
K  0.850  0.150  0.250
Hg  0.239  0.364  0.769
Hg  0.364  0.239  0.269
Hg  0.636  0.761  0.731
Hg  0.761  0.636  0.231
I  0.054  0.169  0.661
I  0.138  0.576  0.994
I  0.169  0.054  0.161
I  0.292  0.475  0.488
I  0.424  0.862  0.506
I  0.475  0.292  0.988
I  0.525  0.708  0.012
I  0.576  0.138  0.494
I  0.708  0.525  0.512
I  0.831  0.946  0.839
I  0.862  0.424  0.006
I  0.946  0.831  0.339


This record from Alexandria via LeMat-Bulk describes a relaxed AlCrGa crystal. The functional is PBE.

Results
**Space-group type**: I4mm (107)
**Crystal system**: tetragonal
**E_form**: 0.00 eV per atom

a b c (Å): 5.038 5.038 5.038
angles (deg): 144.46 144.46 51.15
Fractional coordinates of all 3 atoms:
Al  0.000  0.000  0.000
Cr  0.344  0.344  0.000
Ga  0.684  0.684  0.000


This record from Alexandria via LeMat-Bulk describes a relaxed TbPuGa2 crystal. The functional is PBE.

Results
**Space-group type**: P4/mmm (123)
**Crystal system**: tetragonal
**E_form**: -0.41 eV per atom

a b c (Å): 3.291 3.291 8.347
angles (deg): 90.00 90.00 90.00
Fractional coordinates of all 4 atoms:
Tb  0.000  0.000  0.000
Pu  0.000  0.000  0.500
Ga  0.500  0.500  0.249
Ga  0.500  0.500  0.751


This record from Alexandria via LeMat-Bulk describes a relaxed Y2ErMg2 crystal. The functional is PBE.

Results
**Space-group type**: Cmcm (63)
**Crystal system**: orthorhombic
**E_form**: -0.08 eV per atom

a b c (Å): 14.015 14.015 5.422
angles (deg): 90.00 90.00 164.65
Fractional coordinates of all 10 atoms:
Y  0.045  0.955  0.750
Y  0.237  0.763  0.750
Y  0.763  0.237  0.250
Y  0.955  0.045  0.250
Er  0.151  0.849  0.250
Er  0.849  0.151  0.750
Mg  0.359  0.641  0.250
Mg  0.447  0.553  0.750
Mg  0.553  0.447  0.250
Mg  0.641  0.359  0.750


Which total magnetization belongs to each record? In order, 1.90; 0.00; 3.27; 0.00; 0.00; 0.00; 0.00; 3.96; 0.00; 0.00; 2.73; 0.27; 4.55; 0.00; 0.00; 0.00; 1.97; 1.98; 5.41; 0.00 Bohr magnetons per cell.
Which Fermi-level density of states belongs to each record? In order, 1.3; 0.0; 3.0; 4.7; 8.8; 2.2; 1.7; 1.5; 8.2; 3.1; 4.5; 2.8; 3.8; 7.4; 5.2; 5.0; 4.3; 0.8; 7.7; 11.4 states/eV per cell.